# 1
Crystalline LiGa2Br at its relaxed geometry. Source: Alexandria, functional PBE-GGA.

a b c (Å): 8.446 8.446 5.274
angles (deg): 90.00 90.00 90.00
Sites, in units of the cell vectors:
Li1 0.000 0.000 0.000
Li2 0.000 0.500 0.250
Li3 0.500 0.000 0.750
Li4 0.500 0.500 0.500
Ga1 0.226 0.250 0.125
Ga2 0.250 0.726 0.375
Ga3 0.250 0.774 0.875
Ga4 0.274 0.250 0.625
Ga5 0.726 0.750 0.625
Ga6 0.750 0.226 0.875
Ga7 0.750 0.274 0.375
Ga8 0.774 0.750 0.125
Br1 0.000 0.000 0.500
Br2 0.000 0.500 0.750
Br3 0.500 0.000 0.250
Br4 0.500 0.500 0.000

Calculated values
* distance to the lowest polymorph of the same formula: 475 meV/atom
* crystal system: tetragonal
* energy relative to the elements, uncorrected: -0.174 eV per atom
* total moment: 0.00 μB/f.u.
* calculated volume: 23.51 Å³/atom
* SG: I-42d, No. 122

---

# 2
Crystalline LiGaBr3 at its relaxed geometry. Source: Alexandria, functional PBE-GGA.

a b c (Å): 5.176 5.176 5.176
angles (deg): 90.00 90.00 90.00
Sites, in units of the cell vectors:
Li1 0.000 0.000 0.000
Ga1 0.500 0.500 0.500
Br1 0.000 0.000 0.500
Br2 0.000 0.500 0.000
Br3 0.500 0.000 0.000

Calculated values
* distance to the lowest polymorph of the same formula: 494 meV/atom
* crystal system: cubic
* energy relative to the elements, uncorrected: -0.581 eV per atom
* total moment: 0.73 μB/f.u.
* calculated volume: 27.74 Å³/atom
* SG: Pm-3m, No. 221

---

# 3
Crystalline LiGa2Br at its relaxed geometry. Source: Alexandria, functional PBE-GGA.

a b c (Å): 4.255 4.255 13.704
angles (deg): 82.24 81.35 60.03
Sites, in units of the cell vectors:
Li1 0.000 0.000 0.000
Li2 0.390 0.373 0.841
Ga1 0.225 0.157 0.389
Ga2 0.531 0.472 0.465
Ga3 0.833 0.783 0.553
Ga4 0.924 0.846 0.300
Br1 0.070 0.050 0.804
Br2 0.321 0.324 0.036

Calculated values
* distance to the lowest polymorph of the same formula: 2 meV/atom
* crystal system: triclinic
* energy relative to the elements, uncorrected: -0.648 eV per atom
* total moment: 0.00 μB/f.u.
* calculated volume: 26.50 Å³/atom
* SG: P1, No. 1

---

# 4
Crystalline LiGaBr3 at its relaxed geometry. Source: Alexandria, functional PBE-GGA.

a b c (Å): 7.898 6.668 13.124
angles (deg): 90.00 113.48 90.00
Sites, in units of the cell vectors:
Li1 0.132 0.008 0.171
Li2 0.132 0.492 0.671
Li3 0.868 0.508 0.329
Li4 0.868 0.992 0.829
Ga1 0.363 0.082 0.932
Ga2 0.363 0.418 0.432
Ga3 0.637 0.582 0.568
Ga4 0.637 0.918 0.068
Br1 0.147 0.643 0.294
Br2 0.147 0.857 0.794
Br3 0.149 0.226 0.005
Br4 0.149 0.274 0.505
Br5 0.433 0.155 0.330
Br6 0.433 0.345 0.830
Br7 0.567 0.655 0.170
Br8 0.567 0.845 0.670
Br9 0.851 0.726 0.495
Br10 0.851 0.774 0.995
Br11 0.853 0.143 0.206
Br12 0.853 0.357 0.706

Calculated values
* distance to the lowest polymorph of the same formula: 7 meV/atom
* crystal system: monoclinic
* energy relative to the elements, uncorrected: -1.068 eV per atom
* total moment: 0.00 μB/f.u.
* calculated volume: 31.70 Å³/atom
* SG: P2_1/c, No. 14

---

# 5
Crystalline LiGa2Br at its relaxed geometry. Source: Alexandria, functional PBE-GGA.

a b c (Å): 3.781 3.781 13.670
angles (deg): 91.79 93.89 90.01
Sites, in units of the cell vectors:
Li1 0.000 0.000 0.000
Li2 0.460 0.481 0.833
Ga1 0.021 0.188 0.511
Ga2 0.482 0.162 0.326
Ga3 0.521 0.688 0.510
Ga4 0.982 0.662 0.326
Br1 0.507 0.503 0.026
Br2 0.953 0.979 0.808

Calculated values
* distance to the lowest polymorph of the same formula: 0 meV/atom
* crystal system: triclinic
* energy relative to the elements, uncorrected: -0.649 eV per atom
* total moment: 0.00 μB/f.u.
* calculated volume: 24.36 Å³/atom
* SG: P1, No. 1

---

# 6
Crystalline LiGaBr2 at its relaxed geometry. Source: Alexandria, functional PBE-GGA.

a b c (Å): 4.054 4.054 21.860
angles (deg): 90.00 90.00 120.00
Sites, in units of the cell vectors:
Li1 0.000 0.000 0.000
Li2 0.333 0.667 0.667
Li3 0.667 0.333 0.333
Ga1 0.000 0.000 0.168
Ga2 0.333 0.667 0.835
Ga3 0.667 0.333 0.501
Br1 0.000 0.000 0.405
Br2 0.000 0.000 0.598
Br3 0.333 0.667 0.071
Br4 0.333 0.667 0.264
Br5 0.667 0.333 0.738
Br6 0.667 0.333 0.931

Calculated values
* distance to the lowest polymorph of the same formula: 0 meV/atom
* crystal system: trigonal
* energy relative to the elements, uncorrected: -0.986 eV per atom
* total moment: 0.00 μB/f.u.
* calculated volume: 25.93 Å³/atom
* SG: R3m, No. 160

---

# 7
Crystalline Li2Ga2Br7 at its relaxed geometry. Source: Alexandria, functional PBE-GGA.

a b c (Å): 6.817 13.096 8.511
angles (deg): 90.00 101.39 90.00
Sites, in units of the cell vectors:
Li1 0.225 0.195 0.366
Li2 0.225 0.305 0.866
Li3 0.775 0.695 0.134
Li4 0.775 0.805 0.634
Ga1 0.316 0.601 0.680
Ga2 0.316 0.899 0.180
Ga3 0.684 0.101 0.820
Ga4 0.684 0.399 0.320
Br1 0.043 0.699 0.521
Br2 0.043 0.801 0.021
Br3 0.185 0.501 0.875
Br4 0.185 0.999 0.375
Br5 0.437 0.225 0.675
Br6 0.437 0.275 0.175
Br7 0.500 0.000 0.000
Br8 0.500 0.500 0.500
Br9 0.563 0.725 0.825
Br10 0.563 0.775 0.325
Br11 0.815 0.001 0.625
Br12 0.815 0.499 0.125
Br13 0.957 0.199 0.979
Br14 0.957 0.301 0.479

Calculated values
* distance to the lowest polymorph of the same formula: 0 meV/atom
* crystal system: monoclinic
* energy relative to the elements, uncorrected: -0.970 eV per atom
* total moment: 0.00 μB/f.u.
* calculated volume: 33.86 Å³/atom
* SG: P2_1/c, No. 14

---

# 8
Crystalline LiGa2Br at its relaxed geometry. Source: Alexandria, functional PBE-GGA.

a b c (Å): 7.360 7.360 7.360
angles (deg): 90.00 90.00 90.00
Sites, in units of the cell vectors:
Li1 0.000 0.000 0.000
Li2 0.000 0.500 0.500
Li3 0.500 0.000 0.500
Li4 0.500 0.500 0.000
Ga1 0.250 0.250 0.250
Ga2 0.250 0.250 0.750
Ga3 0.250 0.750 0.250
Ga4 0.250 0.750 0.750
Ga5 0.750 0.250 0.250
Ga6 0.750 0.250 0.750
Ga7 0.750 0.750 0.250
Ga8 0.750 0.750 0.750
Br1 0.000 0.000 0.500
Br2 0.000 0.500 0.000
Br3 0.500 0.000 0.000
Br4 0.500 0.500 0.500

Calculated values
* distance to the lowest polymorph of the same formula: 724 meV/atom
* crystal system: cubic
* energy relative to the elements, uncorrected: 0.075 eV per atom
* total moment: 0.00 μB/f.u.
* calculated volume: 24.92 Å³/atom
* SG: Fm-3m, No. 225

---

# 9
Crystalline LiGaBr3 at its relaxed geometry. Source: Alexandria, functional PBE-GGA.

a b c (Å): 6.960 6.975 15.081
angles (deg): 90.00 112.07 90.00
Sites, in units of the cell vectors:
Li1 0.158 0.006 0.122
Li2 0.158 0.494 0.622
Li3 0.842 0.506 0.378
Li4 0.842 0.994 0.878
Ga1 0.363 0.558 0.428
Ga2 0.363 0.942 0.928
Ga3 0.637 0.058 0.072
Ga4 0.637 0.442 0.572
Br1 0.112 0.161 0.823
Br2 0.112 0.339 0.323
Br3 0.132 0.749 0.983
Br4 0.132 0.751 0.483
Br5 0.490 0.227 0.172
Br6 0.490 0.273 0.672
Br7 0.510 0.727 0.328
Br8 0.510 0.773 0.828
Br9 0.868 0.249 0.517
Br10 0.868 0.251 0.017
Br11 0.888 0.661 0.677
Br12 0.888 0.839 0.177

Calculated values
* distance to the lowest polymorph of the same formula: 8 meV/atom
* crystal system: monoclinic
* energy relative to the elements, uncorrected: -1.067 eV per atom
* total moment: 0.00 μB/f.u.
* calculated volume: 33.93 Å³/atom
* SG: P2_1/c, No. 14

---

# 10
Crystalline LiGaBr2 at its relaxed geometry. Source: Alexandria, functional PBE-GGA.

a b c (Å): 7.402 7.402 7.402
angles (deg): 90.00 90.00 90.00
Sites, in units of the cell vectors:
Li1 0.000 0.000 0.000
Li2 0.000 0.500 0.500
Li3 0.500 0.000 0.500
Li4 0.500 0.500 0.000
Ga1 0.000 0.000 0.500
Ga2 0.000 0.500 0.000
Ga3 0.500 0.000 0.000
Ga4 0.500 0.500 0.500
Br1 0.250 0.250 0.250
Br2 0.250 0.250 0.750
Br3 0.250 0.750 0.250
Br4 0.250 0.750 0.750
Br5 0.750 0.250 0.250
Br6 0.750 0.250 0.750
Br7 0.750 0.750 0.250
Br8 0.750 0.750 0.750

Calculated values
* distance to the lowest polymorph of the same formula: 165 meV/atom
* crystal system: cubic
* energy relative to the elements, uncorrected: -0.822 eV per atom
* total moment: 0.00 μB/f.u.
* calculated volume: 25.34 Å³/atom
* SG: Fm-3m, No. 225